# ThMgCu

A relaxed ThMgCu crystal (PBE, Alexandria via LeMat-Bulk).

```
ThMgCu
1.0
4.712 0.000 0.000
2.356 4.081 0.000
2.356 1.360 3.848
Mg Cu Th
1 1 1
Cartesian
4.712 2.721 1.924 Mg
2.356 1.360 0.962 Cu
0.000 0.000 0.000 Th
```

Results
Energy in eV for the cell shown: -13.011



# SbP3

A relaxed SbP3 crystal (PBE, Alexandria via LeMat-Bulk).

```
SbP3
1.0
6.683 0.037 0.023
5.659 3.555 0.023
5.659 1.647 3.151
P Sb
3 1
Cartesian
4.276 1.245 0.759 P
13.724 3.995 2.437 P
9.000 2.620 1.598 P
0.000 0.000 0.000 Sb
```

Results
Formation energy from raw total energies in meV per atom: 242.4
Energy relative to the lowest polymorph listed for this composition in meV per atom: 44



# BaFeCl

A relaxed BaFeCl crystal (PBE, Alexandria via LeMat-Bulk).

```
BaFeCl
1.0
-4.868 -0.557 0.435
2.909 -0.646 3.914
-0.361 3.868 0.907
Fe Ba Cl
1 1 1
Cartesian
0.126 1.422 3.232 Fe
-0.003 0.035 0.008 Ba
-2.444 1.208 2.016 Cl
```

Results
Formation energy from raw total energies in meV per atom: -80.4
Energy relative to the lowest polymorph listed for this composition in meV per atom: 45



# Ba2AcTc3O12

A relaxed Ba2AcTc3O12 crystal (PBE, Alexandria via LeMat-Bulk).

```
Ba2AcTc3O12
1.0
-4.705 -2.235 4.609
-4.199 -5.051 -2.288
1.248 -6.303 2.665
Ba O Ac Tc
2 12 1 3
Cartesian
-3.001 -5.327 1.955 Ba
-4.655 -8.262 3.032 Ba
-4.644 -10.774 2.385 O
-2.803 -3.981 -0.253 O
-0.549 -4.499 1.796 O
-2.684 -8.537 0.795 O
-4.660 -6.789 -0.064 O
-4.854 -9.608 5.240 O
-3.012 -2.815 2.601 O
-7.108 -9.091 3.190 O
-2.997 -6.800 5.050 O
-4.972 -5.052 4.191 O
-1.300 -7.561 2.992 O
-6.357 -6.028 1.995 O
0.000 0.000 0.000 Ac
-2.099 -2.526 -1.144 Tc
-2.353 -1.118 2.305 Tc
0.624 -3.151 1.332 Tc
```

Results
Formation energy from raw total energies in meV per atom: -2012.7



# CaTm2Cd8

A relaxed CaTm2Cd8 crystal (PBE, Alexandria via LeMat-Bulk).

```
CaTm2Cd8
1.0
-2.800 -1.324 -4.378
5.330 -1.780 -2.855
-2.212 -5.835 6.455
Cd Ca Tm
8 1 2
Cartesian
1.000 -2.392 0.094 Cd
0.575 -1.883 -4.707 Cd
3.823 -3.339 -1.430 Cd
1.955 -1.221 -2.525 Cd
-1.782 -3.644 -1.043 Cd
2.100 -5.296 0.266 Cd
-0.682 -6.547 -0.871 Cd
-3.505 -5.600 0.652 Cd
-1.400 -0.662 -2.189 Ca
0.909 -4.325 -2.550 Tm
-0.591 -4.614 1.773 Tm
```

Results
Energy in eV for the cell shown: -20.882



# InBi

A relaxed InBi crystal (PBE, Alexandria via LeMat-Bulk).

```
InBi
1.0
6.309 0.000 0.000
0.000 5.811 0.000
0.000 0.000 3.351
Bi In
2 2
Cartesian
3.155 0.000 1.675 Bi
0.000 2.905 0.000 Bi
0.000 0.000 1.675 In
3.155 2.905 0.000 In
```

Results
Energy in eV for the cell shown: -13.067



# TiNi3Sn

A relaxed TiNi3Sn crystal (PBE, Alexandria via LeMat-Bulk).

```
TiNi3Sn
1.0
-1.314 -4.206 0.387
-0.358 -0.293 -4.399
4.209 -1.338 -0.253
Ni Ti Sn
3 1 1
Cartesian
-0.179 -0.146 -2.200 Ni
-0.657 -2.103 0.193 Ni
2.104 -0.669 -0.127 Ni
0.000 0.000 0.000 Ti
1.268 -2.919 -2.133 Sn
```

Results
Energy relative to the lowest polymorph listed for this composition in meV per atom: 0



# Co2RhAu

A relaxed Co2RhAu crystal (PBE, Alexandria via LeMat-Bulk).

```
Co2RhAu
1.0
2.727 0.000 0.000
0.000 2.727 0.000
0.000 0.000 7.353
Au Co Rh
1 2 1
Cartesian
1.364 1.364 5.613 Au
1.364 1.364 1.727 Co
0.000 0.000 0.233 Co
0.000 0.000 3.455 Rh
```

Results
Energy in eV for the cell shown: -24.255



# TaCr3Cd

A relaxed TaCr3Cd crystal (PBE, Alexandria via LeMat-Bulk).

```
TaCr3Cd
1.0
4.762 0.000 0.000
0.000 4.762 0.000
0.000 0.000 4.762
Cr Ta Cd
3 1 1
Cartesian
0.000 0.000 2.381 Cr
2.381 0.000 0.000 Cr
0.000 2.381 0.000 Cr
0.000 0.000 0.000 Ta
2.381 2.381 2.381 Cd
```

Results
Energy relative to the lowest polymorph listed for this composition in meV per atom: 0



# NaHgAu2

A relaxed NaHgAu2 crystal (PBE, Alexandria via LeMat-Bulk).

```
NaHgAu2
1.0
5.131 0.000 0.000
-2.560 4.373 0.000
0.000 0.000 7.965
Hg Na Au
2 2 4
Cartesian
-0.003 0.825 5.974 Hg
2.574 3.549 1.991 Hg
2.569 0.560 1.991 Na
0.002 3.814 5.974 Na
0.003 1.974 3.365 Au
2.568 2.400 4.600 Au
2.568 2.400 7.347 Au
0.003 1.974 0.618 Au
```

Results
Energy in eV for the cell shown: -17.500



# HfMg2F

A relaxed HfMg2F crystal (PBE, Alexandria via LeMat-Bulk).

```
HfMg2F
1.0
-0.720 -2.528 5.724
-2.874 -4.984 -2.563
1.813 -5.643 1.201
Mg Hf F
4 2 2
Cartesian
-0.405 -7.773 1.714 Mg
-1.538 -5.209 0.245 Mg
-1.368 -10.081 4.039 Mg
-0.251 -3.247 2.726 Mg
-0.352 -5.963 4.253 Hf
0.000 0.000 0.000 Hf
-1.429 -7.192 0.109 F
-1.797 -3.756 1.580 F
```

Results
Formation energy from raw total energies in meV per atom: -635.9
Energy relative to the lowest polymorph listed for this composition in meV per atom: 0



# Pu2Si6OsRu

A relaxed Pu2Si6OsRu crystal (PBE, Alexandria via LeMat-Bulk).

```
Pu2Si6OsRu
1.0
5.819 0.000 0.000
2.909 5.039 0.000
2.909 1.680 12.332
Si Pu Os Ru
12 4 2 2
Cartesian
5.819 5.322 10.368 Si
4.089 2.361 4.786 Si
7.519 4.341 1.963 Si
4.089 4.358 7.545 Si
7.549 4.358 7.545 Si
5.819 1.362 7.545 Si
5.819 5.357 4.786 Si
7.549 2.361 4.786 Si
4.119 2.378 10.368 Si
4.119 4.341 1.963 Si
5.819 1.397 1.963 Si
7.519 2.378 10.368 Si
2.909 1.680 2.017 Pu
2.909 1.680 7.693 Pu
8.728 5.039 4.639 Pu
8.728 5.039 10.314 Pu
5.819 3.360 3.318 Os
5.819 3.360 9.014 Os
0.000 0.000 0.000 Ru
5.819 3.360 6.166 Ru
```

Results
Formation energy from raw total energies in meV per atom: -365.9



# Mg3HgRh4

A relaxed Mg3HgRh4 crystal (PBE, Alexandria via LeMat-Bulk).

```
Mg3HgRh4
1.0
0.163 2.495 3.706
-2.590 -1.022 3.498
4.469 -3.797 5.056
Mg Rh Hg
3 4 1
Cartesian
1.533 -1.743 9.195 Mg
1.021 -1.162 6.130 Mg
0.510 -0.580 3.065 Mg
2.953 -2.731 7.102 Rh
-0.423 -0.154 8.211 Rh
-0.911 0.408 5.158 Rh
2.466 -2.169 4.048 Rh
0.000 0.000 0.000 Hg
```

Results
Energy in eV for the cell shown: -37.001



# Li3TaCo

A relaxed Li3TaCo crystal (PBE, Alexandria via LeMat-Bulk).

```
Li3TaCo
1.0
4.133 0.000 0.000
0.000 4.133 0.000
0.000 0.000 4.133
Li Ta Co
3 1 1
Cartesian
2.067 0.000 0.000 Li
0.000 0.000 2.067 Li
0.000 2.067 0.000 Li
2.067 2.067 2.067 Ta
0.000 0.000 0.000 Co
```

Results
Energy relative to the lowest polymorph listed for this composition in meV per atom: 0



# CdInSi2

A relaxed CdInSi2 crystal (PBE, Alexandria via LeMat-Bulk).

```
CdInSi2
1.0
2.841 0.487 0.000
-0.487 2.841 0.000
0.000 0.000 10.021
In Cd Si
1 1 2
Cartesian
1.177 1.664 7.516 In
1.177 1.664 2.505 Cd
0.000 0.000 0.175 Si
0.000 0.000 4.835 Si
```

Results
Formation energy from raw total energies in meV per atom: 484.0
Energy relative to the lowest polymorph listed for this composition in meV per atom: 211



# Mg2CoW

A relaxed Mg2CoW crystal (PBE, Alexandria via LeMat-Bulk).

```
Mg2CoW
1.0
2.882 0.000 0.000
0.000 2.882 0.000
0.000 0.000 7.982
Co Mg W
1 2 1
Cartesian
1.441 1.441 5.825 Co
1.441 1.441 2.199 Mg
0.000 0.000 7.582 Mg
0.000 0.000 4.349 W
```

Results
Energy relative to the lowest polymorph listed for this composition in meV per atom: 0



# AcPmSi

A relaxed AcPmSi crystal (PBE, Alexandria via LeMat-Bulk).

```
AcPmSi
1.0
-2.944 1.188 -3.268
-4.481 -0.134 0.813
-2.123 11.684 2.984
Ac Pm Si
2 2 2
Cartesian
-4.651 10.330 1.593 Ac
-4.897 2.408 -1.064 Ac
-7.216 7.795 -0.193 Pm
-2.332 4.943 0.722 Pm
-7.317 4.513 -1.294 Si
-2.231 8.225 1.824 Si
```

Results
Formation energy from raw total energies in meV per atom: -298.2
Energy relative to the lowest polymorph listed for this composition in meV per atom: 125



# TbCeTcHg

A relaxed TbCeTcHg crystal (PBE, Alexandria via LeMat-Bulk).

```
TbCeTcHg
1.0
-2.041 -4.239 -1.957
2.979 -3.979 -1.121
-0.249 -4.241 2.813
Tc Tb Ce Hg
1 1 1 1
Cartesian
0.516 -9.345 -0.198 Tc
0.000 0.000 0.000 Tb
0.344 -6.230 -0.132 Ce
0.172 -3.115 -0.066 Hg
```

Results
Energy in eV for the cell shown: -21.612



# Tb6Fe2Pt

A relaxed Tb6Fe2Pt crystal (PBE, Alexandria via LeMat-Bulk).

```
Tb6Fe2Pt
1.0
7.748 0.217 -2.832
-3.970 6.786 -2.508
-0.091 -0.217 8.249
Tb Fe Pt
12 4 2
Cartesian
3.164 5.221 0.486 Tb
0.523 1.565 2.423 Tb
3.850 2.611 2.678 Tb
-1.645 6.571 2.325 Tb
4.122 5.068 -2.882 Tb
5.332 0.215 0.584 Tb
2.433 1.936 -0.494 Tb
5.290 1.782 -2.519 Tb
-0.164 4.175 0.231 Tb
-0.435 1.719 5.791 Tb
1.254 4.851 3.403 Tb
-1.603 5.004 5.428 Tb
1.439 4.230 -2.034 Fe
2.248 2.557 4.943 Fe
4.743 0.000 3.355 Fe
2.914 0.000 2.062 Fe
-2.031 3.285 2.871 Pt
0.000 0.000 0.000 Pt
```

Results
Energy in eV for the cell shown: -106.482



# Co3Ni2Rh

A relaxed Co3Ni2Rh crystal (PBE, Alexandria via LeMat-Bulk).

```
Co3Ni2Rh
1.0
-2.255 -4.436 2.695
4.134 -2.398 -3.031
2.946 0.631 3.511
Co Ni Rh
6 4 2
Cartesian
1.289 -4.680 -0.230 Co
4.277 -2.583 1.453 Co
3.535 -1.522 3.405 Co
2.065 -1.837 1.647 Co
0.547 -3.619 1.722 Co
2.759 -4.365 1.527 Co
3.631 -3.892 -0.813 Ni
1.830 -4.620 3.876 Ni
1.193 -2.311 3.988 Ni
2.994 -1.582 -0.702 Ni
5.955 -2.048 -0.051 Rh
-1.132 -4.154 3.226 Rh
```

Results
Energy relative to the lowest polymorph listed for this composition in meV per atom: 140